1.
First-principles (PBE+U) data for a relaxed structure of Mg2MnAsO6, as listed in the Alexandria database.

**Crystal system**: triclinic
**Space-group type**: P1 (1)
**Energy**: -64.107 eV/f.u.
**Total moment**: 4.0 μB/cell
**Theoretical density**: 4.452 g cm⁻³

The structure in POSCAR format:
```
Mg2MnAsO6
1.0
5.0136 0.0421 0.0361
2.5415 4.5267 0.1283
2.5478 1.6341 4.5900
O Mg Mn As
6 2 1 1
Direct
0.4325 0.6970 0.7665
0.1066 0.4363 0.7620
0.6745 0.1250 0.7843
0.5872 0.2024 0.2564
0.2050 0.9525 0.2552
0.9689 0.5697 0.2336
0.0274 0.0187 0.9339
0.5302 0.5206 0.4177
0.8098 0.8204 0.5626
0.3195 0.3191 0.0431
```

2.
First-principles (PBE+U) data for a relaxed structure of MgMnAsO6, as listed in the Alexandria database.

**Crystal system**: trigonal
**Space-group type**: P-31c (163)
**Energy**: -56.801 eV/f.u.
**Total moment**: 4.0 μB/cell
**Theoretical density**: 4.437 g cm⁻³

The structure in POSCAR format:
```
MgMnAsO6
1.0
-4.4062 0.5074 2.1452
3.4426 -2.8415 2.0853
3.0307 7.0216 4.5644
O Mn As Mg
12 2 2 2
Direct
0.3521 0.3620 0.3644
0.0099 0.3620 0.1356
0.6380 0.9901 0.3644
0.3620 0.0099 0.6356
0.3620 0.3521 0.8644
0.6380 0.6479 0.1356
0.9901 0.6380 0.8644
0.0099 0.6479 0.3644
0.3521 0.9901 0.1356
0.6479 0.6380 0.6356
0.6479 0.0099 0.8644
0.9901 0.3521 0.6356
0.3333 0.6667 0.7500
0.6667 0.3333 0.2500
0.3333 0.6667 0.2500
0.6667 0.3333 0.7500
0.0000 0.0000 0.0000
0.0000 0.0000 0.5000
```

3.
First-principles (PBE+U) data for a relaxed structure of MgMn2As2Pb2O18, as listed in the Alexandria database.

**Crystal system**: triclinic
**Space-group type**: P-1 (2)
**Energy**: -145.370 eV/f.u.
**Total moment**: 10.0 μB/cell
**Theoretical density**: 4.928 g cm⁻³

The structure in POSCAR format:
```
MgMn2As2Pb2O18
1.0
-4.6563 -2.2220 1.4313
-0.3874 -3.0341 -4.4941
7.8833 -7.2691 4.7706
O Mg As Pb Mn
18 1 2 2 2
Direct
0.2060 0.0879 0.7768
0.1128 0.6077 0.8550
0.2817 0.6350 0.6562
0.6576 0.9100 0.4438
0.6830 0.4259 0.5775
0.3424 0.0900 0.5562
0.8872 0.3923 0.1450
0.2955 0.6742 0.1064
0.2331 0.1218 0.3149
0.4326 0.2028 0.0547
0.7183 0.3650 0.3438
0.7940 0.9121 0.2232
0.2130 0.1359 0.0152
0.3170 0.5741 0.4225
0.7045 0.3258 0.8936
0.7870 0.8641 0.9848
0.7669 0.8782 0.6851
0.5674 0.7972 0.9453
0.0000 0.5000 0.0000
0.0965 0.8003 0.7463
0.9035 0.1997 0.2537
0.4689 0.7377 0.2712
0.5311 0.2623 0.7288
0.4928 0.2484 0.4458
0.5072 0.7516 0.5542
```